Entry 1:
MnAu | GGA-PBE | optimized geometry

Properties
M_tot	3.978	μB/f.u.
calculated formation energy	0.05	eV/atom
raw total energy	-6.17	eV/atom
V	16.5	Å³/atom

Geometry as CIF:
```
data_MnAu
_chemical_formula_sum 'Mn3 Au3'
_cell_length_a 5.008
_cell_length_b 5.008
_cell_length_c 6.066
_cell_angle_alpha 72.43
_cell_angle_beta 72.43
_cell_angle_gamma 43.48
_space_group_name_H-M_alt 'P 1'
_space_group_IT_number 1
_space_group_name_Hall 'P 1'
loop_
_atom_site_label
_atom_site_fract_x
_atom_site_fract_y
_atom_site_fract_z
Mn1 0.313 0.313 0.386
Mn2 0.975 0.975 0.566
Mn3 0.297 0.297 0.891
Au1 0.963 0.963 0.048
Au2 0.633 0.633 0.236
Au3 0.652 0.652 0.706
```

---

Entry 2:
MnAu | GGA-PBE | optimized geometry

Properties
M_tot	3.566	μB/f.u.
calculated formation energy	0.20	eV/atom
raw total energy	-6.02	eV/atom
V	16.4	Å³/atom

Geometry as CIF:
```
data_MnAu
_chemical_formula_sum 'Mn2 Au2'
_cell_length_a 9.194
_cell_length_b 9.194
_cell_length_c 9.194
_cell_angle_alpha 18.09
_cell_angle_beta 18.09
_cell_angle_gamma 18.09
_space_group_name_H-M_alt 'P 1'
_space_group_IT_number 1
_space_group_name_Hall 'P 1'
loop_
_atom_site_label
_atom_site_fract_x
_atom_site_fract_y
_atom_site_fract_z
Au1 0.005 0.005 0.005
Au2 0.245 0.245 0.245
Mn1 0.497 0.497 0.497
Mn2 0.753 0.753 0.753
```

---

Entry 3:
Mn3Au4 | GGA-PBE | optimized geometry

Properties
M_tot	9.928	μB/f.u.
calculated formation energy	0.23	eV/atom
raw total energy	-5.57	eV/atom
V	16.3	Å³/atom

Geometry as CIF:
```
data_Mn3Au4
_chemical_formula_sum 'Mn3 Au4'
_cell_length_a 5.032
_cell_length_b 5.032
_cell_length_c 5.196
_cell_angle_alpha 90.00
_cell_angle_beta 90.00
_cell_angle_gamma 120.00
_space_group_name_H-M_alt 'P 1'
_space_group_IT_number 1
_space_group_name_Hall 'P 1'
loop_
_atom_site_label
_atom_site_fract_x
_atom_site_fract_y
_atom_site_fract_z
Mn1 0.000 0.500 0.000
Mn2 0.500 0.500 0.000
Mn3 0.500 0.000 0.000
Au1 0.000 0.000 0.252
Au2 0.000 0.000 0.748
Au3 0.667 0.333 0.500
Au4 0.333 0.667 0.500
```

---

Entry 4:
Mn3Au | GGA-PBE | optimized geometry

Properties
M_tot	3.095	μB/f.u.
calculated formation energy	0.13	eV/atom
raw total energy	-7.56	eV/atom
V	14.2	Å³/atom

Geometry as CIF:
```
data_Mn3Au
_chemical_formula_sum 'Mn3 Au1'
_cell_length_a 7.806
_cell_length_b 3.741
_cell_length_c 9.972
_cell_angle_alpha 90.00
_cell_angle_beta 168.77
_cell_angle_gamma 90.00
_space_group_name_H-M_alt 'P 1'
_space_group_IT_number 1
_space_group_name_Hall 'P 1'
loop_
_atom_site_label
_atom_site_fract_x
_atom_site_fract_y
_atom_site_fract_z
Au1 0.000 0.000 0.000
Mn1 0.299 0.500 0.034
Mn2 0.500 0.000 0.000
Mn3 0.701 0.500 0.966
```

---

Entry 5:
MnAu3 | GGA-PBE | optimized geometry

Properties
M_tot	4.311	μB/f.u.
calculated formation energy	-0.07	eV/atom
raw total energy	-4.82	eV/atom
V	17.3	Å³/atom

Geometry as CIF:
```
data_MnAu3
_chemical_formula_sum 'Mn1 Au3'
_cell_length_a 4.123
_cell_length_b 4.103
_cell_length_c 5.014
_cell_angle_alpha 114.15
_cell_angle_beta 114.28
_cell_angle_gamma 90.00
_space_group_name_H-M_alt 'P 1'
_space_group_IT_number 1
_space_group_name_Hall 'P 1'
loop_
_atom_site_label
_atom_site_fract_x
_atom_site_fract_y
_atom_site_fract_z
Mn1 0.000 0.917 0.000
Au1 0.250 0.666 0.499
Au2 0.500 0.417 0.000
Au3 0.750 0.167 0.501
```

---

Entry 6:
Mn3Au | GGA-PBE | optimized geometry

Properties
M_tot	3.855	μB/f.u.
calculated formation energy	0.18	eV/atom
raw total energy	-7.52	eV/atom
V	14.8	Å³/atom

Geometry as CIF:
```
data_Mn3Au
_chemical_formula_sum 'Mn3 Au1'
_cell_length_a 2.792
_cell_length_b 4.483
_cell_length_c 4.727
_cell_angle_alpha 90.00
_cell_angle_beta 90.00
_cell_angle_gamma 90.00
_space_group_name_H-M_alt 'P 1'
_space_group_IT_number 1
_space_group_name_Hall 'P 1'
loop_
_atom_site_label
_atom_site_fract_x
_atom_site_fract_y
_atom_site_fract_z
Au1 0.000 0.000 0.991
Mn1 0.000 0.500 0.350
Mn2 0.500 0.000 0.482
Mn3 0.500 0.500 0.843
```

---

Entry 7:
MnAu3 | GGA-PBE | optimized geometry

Properties
M_tot	4.251	μB/f.u.
calculated formation energy	0.02	eV/atom
raw total energy	-4.73	eV/atom
V	17.8	Å³/atom

Geometry as CIF:
```
data_MnAu3
_chemical_formula_sum 'Mn2 Au6'
_cell_length_a 5.225
_cell_length_b 5.225
_cell_length_c 5.225
_cell_angle_alpha 90.00
_cell_angle_beta 90.00
_cell_angle_gamma 90.00
_space_group_name_H-M_alt 'P 1'
_space_group_IT_number 1
_space_group_name_Hall 'P 1'
loop_
_atom_site_label
_atom_site_fract_x
_atom_site_fract_y
_atom_site_fract_z
Mn1 0.000 0.000 0.000
Mn2 0.500 0.500 0.500
Au1 0.000 0.250 0.500
Au2 0.000 0.750 0.500
Au3 0.250 0.500 0.000
Au4 0.500 0.000 0.250
Au5 0.500 0.000 0.750
Au6 0.750 0.500 0.000
```

---

Entry 8:
MnAu | GGA-PBE | optimized geometry

Properties
M_tot	4.118	μB/f.u.
calculated formation energy	0.11	eV/atom
raw total energy	-6.12	eV/atom
V	17.0	Å³/atom

Geometry as CIF:
```
data_MnAu
_chemical_formula_sum 'Mn2 Au2'
_cell_length_a 3.140
_cell_length_b 4.748
_cell_length_c 4.567
_cell_angle_alpha 90.00
_cell_angle_beta 90.00
_cell_angle_gamma 90.00
_space_group_name_H-M_alt 'P 1'
_space_group_IT_number 1
_space_group_name_Hall 'P 1'
loop_
_atom_site_label
_atom_site_fract_x
_atom_site_fract_y
_atom_site_fract_z
Au1 0.000 0.000 0.027
Au2 0.500 0.500 0.806
Mn1 0.000 0.500 0.321
Mn2 0.500 0.000 0.513
```

---

Entry 9:
MnAu5 | GGA-PBE | optimized geometry

Properties
M_tot	4.379	μB/f.u.
calculated formation energy	-0.02	eV/atom
raw total energy	-4.28	eV/atom
V	17.7	Å³/atom

Geometry as CIF:
```
data_MnAu5
_chemical_formula_sum 'Mn1 Au5'
_cell_length_a 5.913
_cell_length_b 5.913
_cell_length_c 11.333
_cell_angle_alpha 146.04
_cell_angle_beta 146.04
_cell_angle_gamma 32.15
_space_group_name_H-M_alt 'P 1'
_space_group_IT_number 1
_space_group_name_Hall 'P 1'
loop_
_atom_site_label
_atom_site_fract_x
_atom_site_fract_y
_atom_site_fract_z
Au1 0.984 0.984 0.951
Au2 0.143 0.143 0.786
Au3 0.306 0.306 0.611
Au4 0.468 0.468 0.436
Au5 0.627 0.627 0.272
Mn1 0.806 0.806 0.111
```

---

Entry 10:
Mn3Au | GGA-PBE | optimized geometry

Properties
M_tot	10.500	μB/f.u.
calculated formation energy	0.28	eV/atom
raw total energy	-7.42	eV/atom
V	15.2	Å³/atom

Geometry as CIF:
```
data_Mn3Au
_chemical_formula_sum 'Mn9 Au3'
_cell_length_a 3.957
_cell_length_b 3.957
_cell_length_c 11.641
_cell_angle_alpha 90.00
_cell_angle_beta 90.00
_cell_angle_gamma 90.00
_space_group_name_H-M_alt 'P 1'
_space_group_IT_number 1
_space_group_name_Hall 'P 1'
loop_
_atom_site_label
_atom_site_fract_x
_atom_site_fract_y
_atom_site_fract_z
Mn1 0.500 0.500 0.675
Mn2 0.500 0.500 0.325
Mn3 0.500 0.000 0.173
Mn4 0.000 0.500 0.173
Mn5 0.000 0.000 0.328
Mn6 0.500 0.000 0.827
Mn7 0.000 0.000 0.672
Mn8 0.500 0.500 0.000
Mn9 0.000 0.500 0.827
Au1 0.500 0.000 0.500
Au2 0.000 0.000 0.000
Au3 0.000 0.500 0.500
```

---

Entry 11:
MnAu5 | GGA-PBE | optimized geometry

Properties
M_tot	4.245	μB/f.u.
calculated formation energy	0.00	eV/atom
raw total energy	-4.26	eV/atom
V	17.6	Å³/atom

Geometry as CIF:
```
data_MnAu5
_chemical_formula_sum 'Mn1 Au5'
_cell_length_a 2.907
_cell_length_b 7.696
_cell_length_c 4.817
_cell_angle_alpha 90.00
_cell_angle_beta 90.00
_cell_angle_gamma 79.11
_space_group_name_H-M_alt 'P 1'
_space_group_IT_number 1
_space_group_name_Hall 'P 1'
loop_
_atom_site_label
_atom_site_fract_x
_atom_site_fract_y
_atom_site_fract_z
Au1 0.997 0.006 0.000
Au2 0.665 0.670 0.000
Au3 0.334 0.332 0.000
Au4 0.551 0.897 0.500
Au5 0.229 0.542 0.500
Mn1 0.890 0.219 0.500
```

---

Entry 12:
Mn9Au31 | GGA-PBE | optimized geometry

Properties
M_tot	38.355	μB/f.u.
calculated formation energy	-0.07	eV/atom
raw total energy	-4.67	eV/atom
V	17.3	Å³/atom

Geometry as CIF:
```
data_Mn9Au31
_chemical_formula_sum 'Mn9 Au31'
_cell_length_a 13.062
_cell_length_b 13.062
_cell_length_c 4.066
_cell_angle_alpha 90.00
_cell_angle_beta 90.00
_cell_angle_gamma 90.00
_space_group_name_H-M_alt 'P 1'
_space_group_IT_number 1
_space_group_name_Hall 'P 1'
loop_
_atom_site_label
_atom_site_fract_x
_atom_site_fract_y
_atom_site_fract_z
Au1 0.500 0.500 0.000
Au2 0.000 0.500 0.000
Au3 0.500 0.000 0.000
Au4 0.099 0.202 0.000
Au5 0.901 0.798 0.000
Au6 0.798 0.099 0.000
Au7 0.202 0.901 0.000
Au8 0.302 0.099 0.000
Au9 0.698 0.901 0.000
Au10 0.901 0.302 0.000
Au11 0.099 0.698 0.000
Au12 0.199 0.400 0.000
Au13 0.801 0.600 0.000
Au14 0.600 0.199 0.000
Au15 0.400 0.801 0.000
Au16 0.149 0.048 0.500
Au17 0.851 0.952 0.500
Au18 0.952 0.149 0.500
Au19 0.048 0.851 0.500
Au20 0.253 0.253 0.500
Au21 0.747 0.747 0.500
Au22 0.747 0.253 0.500
Au23 0.253 0.747 0.500
Au24 0.451 0.150 0.500
Au25 0.549 0.850 0.500
Au26 0.850 0.451 0.500
Au27 0.150 0.549 0.500
Au28 0.351 0.453 0.500
Au29 0.649 0.547 0.500
Au30 0.547 0.351 0.500
Au31 0.453 0.649 0.500
Mn1 0.000 0.000 0.000
Mn2 0.398 0.298 0.000
Mn3 0.602 0.702 0.000
Mn4 0.702 0.398 0.000
Mn5 0.298 0.602 0.000
Mn6 0.050 0.349 0.500
Mn7 0.950 0.651 0.500
Mn8 0.651 0.050 0.500
Mn9 0.349 0.950 0.500
```